(1)
Zn2CuOs: relaxed, PBE-GGA.

```
Zn2CuOs
1.0
4.0248 0.0000 0.0000
0.0000 4.0248 0.0000
0.0000 0.0000 3.3285
Zn Cu Os
2 1 1
direct
0.0000 0.5000 0.0000
0.5000 0.0000 0.0000
0.0000 0.0000 0.5000
0.5000 0.5000 0.5000
```

The value obtained for the formation enthalpy at 0 K is 0.0919 eV/atom. The density of states at the Fermi level is 1.758 states/eV/f.u. As for the space group: No. 123. Its energy is -0.16084 hartree per atom.

---

(2)
ZnCu2Os: relaxed, PBE-GGA.

```
ZnCu2Os
1.0
2.6405 0.0000 0.0000
0.0000 2.6405 0.0000
0.0000 0.0000 7.5642
Zn Cu Os
1 2 1
direct
0.0000 0.0000 0.0000
0.0000 0.0000 0.4813
0.5000 0.5000 0.2450
0.5000 0.5000 0.7331
```

The value obtained for the formation enthalpy at 0 K is 0.2169 eV/atom. The density of states at the Fermi level is 3.597 states/eV/f.u. As for the space group: No. 99. Its energy is -0.18217 hartree per atom.